Entry 1:
# TcB3S | Alexandria via LeMat-Bulk | PBE-GGA | optimized geometry
# Relative energy among the computed polymorphs, meV/atom: 0
# Space group: No. 221
# V, Å³/cell: 72
# Magnetization, μB/f.u.: 1.45
# Formation energy from raw total energies, eV/f.u.: 8.1
data_TcB3S
_chemical_formula_sum 'Tc1 B3 S1'
_space_group_name_H-M_alt 'P 1'
_space_group_IT_number 1
_cell_length_a 4.156
_cell_length_b 4.156
_cell_length_c 4.156
_cell_angle_alpha 90.00
_cell_angle_beta 90.00
_cell_angle_gamma 90.00
loop_
_space_group_symop_operation_xyz
'x,y,z'
loop_
_atom_site_label
_atom_site_type_symbol
_atom_site_fract_x
_atom_site_fract_y
_atom_site_fract_z
S1 S 0.500 0.500 0.500
B1 B 0.000 0.500 0.000
B2 B 0.000 0.000 0.500
B3 B 0.500 0.000 0.000
Tc1 Tc 0.000 0.000 0.000

---

Entry 2:
# TcB2S6 | Alexandria via LeMat-Bulk | PBE-GGA | optimized geometry
# Space group: No. 15
# V, Å³/cell: 309
# Magnetization, μB/f.u.: 0.00
# Formation energy from raw total energies, eV/f.u.: -1.7
data_TcB2S6
_chemical_formula_sum 'Tc2 B4 S12'
_space_group_name_H-M_alt 'P 1'
_space_group_IT_number 1
_cell_length_a 5.852
_cell_length_b 7.350
_cell_length_c 7.350
_cell_angle_alpha 83.05
_cell_angle_beta 82.35
_cell_angle_gamma 82.35
loop_
_space_group_symop_operation_xyz
'x,y,z'
loop_
_atom_site_label
_atom_site_type_symbol
_atom_site_fract_x
_atom_site_fract_y
_atom_site_fract_z
Tc1 Tc 0.250 0.129 0.871
Tc2 Tc 0.750 0.871 0.129
B1 B 0.152 0.643 0.777
B2 B 0.348 0.223 0.357
B3 B 0.848 0.357 0.223
B4 B 0.652 0.777 0.643
S1 S 0.372 0.712 0.573
S2 S 0.128 0.427 0.288
S3 S 0.628 0.288 0.427
S4 S 0.872 0.573 0.712
S5 S 0.820 0.891 0.419
S6 S 0.680 0.581 0.109
S7 S 0.180 0.109 0.581
S8 S 0.320 0.419 0.891
S9 S 0.115 0.818 0.959
S10 S 0.385 0.041 0.182
S11 S 0.885 0.182 0.041
S12 S 0.615 0.959 0.818